Record 1
Here is AlAgMo2 after structural relaxation from the Alexandria database. Energies are from PBE.

Cell: 3.2441 3.2441 6.2157 Å, 90.00 90.00 90.00°
Atoms (fractional coordinates):
Al (0.0000, 0.0000, 0.0000)
Ag (0.5000, 0.5000, 0.7645)
Mo (0.0000, 0.0000, 0.4578)
Mo (0.5000, 0.5000, 0.2568)

Calculated values
Total magnetization (μB/atom): 0.000
Energy of formation from the pure elements (eV per atom): 0.109
Space-group type: P4mm (99)

=====

Record 2
Here is TiPdI2O after structural relaxation from the Alexandria database. Energies are from PBE.

Cell: 5.5741 5.5741 3.7112 Å, 90.00 90.00 90.00°
Atoms (fractional coordinates):
Ti (0.0000, 0.0000, 0.0000)
Pd (0.5000, 0.5000, 0.5000)
I (0.0000, 0.5000, 0.0000)
I (0.5000, 0.0000, 0.0000)
O (0.0000, 0.0000, 0.5000)

Calculated values
Formation energy without anion corrections (eV per atom): -0.7329
Total magnetization (μB/atom): 0.000
Space-group type: P4/mmm (123)

=====

Record 3
Here is La3WS after structural relaxation from the Alexandria database. Energies are from PBE.

Cell: 5.5083 5.5083 5.5083 Å, 90.00 90.00 90.00°
Atoms (fractional coordinates):
La (0.0000, 0.0000, 0.5000)
La (0.0000, 0.5000, 0.0000)
La (0.5000, 0.0000, 0.0000)
W (0.0000, 0.0000, 0.0000)
S (0.5000, 0.5000, 0.5000)

Calculated values
Formation energy without anion corrections (eV per atom): 0.1568
Total magnetization (μB/atom): 0.000
Space-group type: Pm-3m (221)

=====

Record 4
Here is Rb4PmTh3Se8 after structural relaxation from the Alexandria database. Energies are from PBE.

Cell: 9.5294 9.5294 9.5294 Å, 53.46 53.46 53.46°
Atoms (fractional coordinates):
Rb (0.0000, 0.0000, 0.0000)
Rb (0.0000, 0.5000, 0.5000)
Rb (0.5000, 0.0000, 0.5000)
Rb (0.5000, 0.5000, 0.0000)
Pm (0.5000, 0.5000, 0.5000)
Th (0.0000, 0.0000, 0.5000)
Th (0.0000, 0.5000, 0.0000)
Th (0.5000, 0.0000, 0.0000)
Se (0.2329, 0.7362, 0.7362)
Se (0.2356, 0.2356, 0.2356)
Se (0.2638, 0.2638, 0.7671)
Se (0.2638, 0.7671, 0.2638)
Se (0.7362, 0.2329, 0.7362)
Se (0.7362, 0.7362, 0.2329)
Se (0.7644, 0.7644, 0.7644)
Se (0.7671, 0.2638, 0.2638)

Calculated values
Formation energy without anion corrections (eV per atom): -1.5732
Total magnetization (μB/atom): 0.000
Space-group type: R-3m (166)

=====

Record 5
Here is InFe2Mo after structural relaxation from the Alexandria database. Energies are from PBE.

Cell: 3.1059 3.1059 6.2260 Å, 90.00 90.00 90.00°
Atoms (fractional coordinates):
In (0.0000, 0.0000, 0.0000)
Fe (0.0000, 0.0000, 0.5326)
Fe (0.5000, 0.5000, 0.7248)
Mo (0.5000, 0.5000, 0.3178)

Calculated values
Total magnetization (μB/atom): 1.022
Energy of formation from the pure elements (eV per atom): 0.210
Space-group type: P4mm (99)

=====

Record 6
Here is La2Nd6Dy3 after structural relaxation from the Alexandria database. Energies are from PBE.

Cell: 6.2633 6.2633 11.9683 Å, 95.08 95.08 120.08°
Atoms (fractional coordinates):
La (0.1667, 0.8333, 0.0000)
La (0.8333, 0.1667, 0.0000)
Nd (0.0828, 0.4155, 0.7457)
Nd (0.2515, 0.2515, 0.2542)
Nd (0.4155, 0.0828, 0.7457)
Nd (0.5845, 0.9172, 0.2543)
Nd (0.7485, 0.7485, 0.7458)
Nd (0.9172, 0.5845, 0.2543)
Dy (0.0000, 0.0000, 0.5000)
Dy (0.3346, 0.6654, 0.5000)
Dy (0.6654, 0.3346, 0.5000)

Calculated values
Total magnetization (μB/atom): 0.000
Energy of formation from the pure elements (eV per atom): 0.163
Space-group type: C2/m (12)

=====

Record 7
Here is Tb5Ho4Tl after structural relaxation from the Alexandria database. Energies are from PBE.

Cell: 8.0296 8.0296 8.0296 Å, 97.54 97.54 137.54°
Atoms (fractional coordinates):
Tb (0.0000, 0.0000, 0.0000)
Tb (0.1039, 0.1039, 0.6276)
Tb (0.1039, 0.4764, 0.0000)
Tb (0.4764, 0.1039, 0.0000)
Tb (0.4764, 0.4764, 0.3724)
Ho (0.1184, 0.8004, 0.3180)
Ho (0.4824, 0.8004, 0.6820)
Ho (0.8004, 0.1184, 0.3180)
Ho (0.8004, 0.4824, 0.6820)
Tl (0.5194, 0.5194, 0.0000)

Calculated values
Total magnetization (μB/atom): 0.000
Energy of formation from the pure elements (eV per atom): 0.153
Space-group type: I4mm (107)

=====

Record 8
Here is BeIrWN2 after structural relaxation from the Alexandria database. Energies are from PBE.

Cell: 3.6418 3.6418 4.2580 Å, 90.00 90.00 90.00°
Atoms (fractional coordinates):
Be (0.0000, 0.0000, 0.0000)
Ir (0.0000, 0.0000, 0.5000)
W (0.5000, 0.5000, 0.5000)
N (0.0000, 0.5000, 0.0000)
N (0.5000, 0.0000, 0.0000)

Calculated values
Formation energy without anion corrections (eV per atom): 1.5739
Total magnetization (μB/atom): 0.000
Space-group type: P4/mmm (123)

=====

Repeat the fifth record exactly.
Here is InFe2Mo after structural relaxation from the Alexandria database. Energies are from PBE.

Cell: 3.1059 3.1059 6.2260 Å, 90.00 90.00 90.00°
Atoms (fractional coordinates):
In (0.0000, 0.0000, 0.0000)
Fe (0.0000, 0.0000, 0.5326)
Fe (0.5000, 0.5000, 0.7248)
Mo (0.5000, 0.5000, 0.3178)

Calculated values
Total magnetization (μB/atom): 1.022
Energy of formation from the pure elements (eV per atom): 0.210
Space-group type: P4mm (99)